VASP calculation (GGA-PBEsol) on a relaxed PtINO2 crystal.

E (eV per atom): -4.911
Spin magnetization (Bohr magnetons per cell): 0.0
Formation energy without anion corrections (eV/f.u.): 3.20
Fermi-level density of states (states/eV per cell): 2.37

a = 3.861 Å, b = 4.067 Å, c = 4.067 Å
α = 90.00°, β = 90.00°, γ = 90.00°
Fractional positions:
1 Pt 0.000 0.000 0.000
2 N 0.500 0.000 0.000
3 O 0.000 0.500 0.000
4 O 0.000 0.000 0.500
5 I 0.500 0.500 0.500


VASP calculation (GGA-PBEsol) on a relaxed NiIrOF2 crystal.

E (eV per atom): -5.081
Spin magnetization (Bohr magnetons per cell): 1.1
Formation energy without anion corrections (eV/f.u.): -0.32
Fermi-level density of states (states/eV per cell): 12.31

a = 3.653 Å, b = 4.304 Å, c = 4.304 Å
α = 90.00°, β = 90.00°, γ = 90.00°
Each line ends with the local moment (μB).
Fractional positions:
1 Ir 0.000 0.000 0.000  0.05
2 O 0.500 0.000 0.000  0.02
3 Ni 0.500 0.500 0.500  0.95
4 F 0.000 0.500 0.000  0.01
5 F 0.000 0.000 0.500  0.01


VASP calculation (GGA-PBEsol) on a relaxed CuPb2Au crystal.

E (eV per atom): -4.009
Spin magnetization (Bohr magnetons per cell): 0.0
Fermi-level density of states (states/eV per cell): 1.70
Energy of formation (eV per atom): 0.05

a = 4.168 Å, b = 3.820 Å, c = 5.824 Å
α = 90.00°, β = 110.74°, γ = 90.00°
Fractional positions:
1 Pb 0.015 0.000 0.907
2 Pb 0.721 0.500 0.315
3 Cu 0.464 0.500 0.801
4 Au 0.301 0.000 0.477


VASP calculation (GGA-PBEsol) on a relaxed LiGeOs2Cl crystal.

E (eV per atom): -4.965
Spin magnetization (Bohr magnetons per cell): 0.0
Formation energy without anion corrections (eV/f.u.): 8.52
Fermi-level density of states (states/eV per cell): 5.37

a = 3.989 Å, b = 4.268 Å, c = 4.268 Å
α = 90.00°, β = 90.00°, γ = 90.00°
Fractional positions:
1 Ge 0.500 0.000 0.000
2 Li 0.000 0.000 0.000
3 Cl 0.500 0.500 0.500
4 Os 0.000 0.500 0.000
5 Os 0.000 0.000 0.500


VASP calculation (GGA-PBEsol) on a relaxed TlBrO2 crystal.

E (eV per atom): -4.128
Spin magnetization (Bohr magnetons per cell): 0.0
Formation energy without anion corrections (eV/f.u.): -1.51
Fermi-level density of states (states/eV per cell): 1.60
Offset from the most stable computed form (eV/atom): 0.000

a = 3.562 Å, b = 3.562 Å, c = 6.577 Å
α = 74.29°, β = 74.29°, γ = 60.00°
Fractional positions:
1 O 0.110 0.110 0.670
2 O 0.890 0.890 0.330
3 Br 0.000 0.000 0.000
4 Tl 0.500 0.500 0.500


VASP calculation (GGA-PBEsol) on a relaxed Ca2BeZn crystal.

E (eV per atom): -2.423
Spin magnetization (Bohr magnetons per cell): 0.0
Fermi-level density of states (states/eV per cell): 3.62
Energy of formation (eV per atom): 0.04
Offset from the most stable computed form (eV/atom): 0.000

a = 4.390 Å, b = 4.208 Å, c = 5.632 Å
α = 90.00°, β = 112.94°, γ = 90.00°
Fractional positions:
1 Zn 0.673 0.000 0.346
2 Be 0.580 0.500 0.159
3 Ca 0.979 0.000 0.958
4 Ca 0.271 0.500 0.542


VASP calculation (GGA-PBEsol) on a relaxed Li7La3Hf2O12 crystal.

E (eV per atom): -7.618
Spin magnetization (Bohr magnetons per cell): 0.0
Formation energy without anion corrections (eV/f.u.): -69.03
Fermi-level density of states (states/eV per cell): 0.00

a = 11.104 Å, b = 11.104 Å, c = 11.104 Å
α = 108.36°, β = 108.36°, γ = 111.73°
Fractional positions:
1 Li 0.320 0.180 0.500
2 Li 0.930 0.570 0.000
3 Li 0.570 0.930 0.000
4 Li 0.180 0.680 0.860
5 Li 0.231 0.149 0.242
6 Li 0.351 0.269 0.758
7 Li 0.239 0.981 0.582
8 Li 0.820 0.320 0.140
9 Li 0.899 0.481 0.742
10 Li 0.511 0.593 0.242
11 Li 0.399 0.657 0.418
12 Li 0.019 0.601 0.258
13 Li 0.519 0.261 0.418
14 Li 0.000 0.000 0.000
15 Li 0.731 0.489 0.082
16 Li 0.011 0.769 0.918
17 Li 0.843 0.101 0.582
18 Li 0.250 0.750 0.500
19 Li 0.680 0.820 0.500
20 Li 0.851 0.093 0.082
21 Li 0.430 0.430 0.360
22 Li 0.407 0.649 0.918
23 Li 0.907 0.989 0.758
24 Li 0.500 0.500 0.000
25 Li 0.739 0.157 0.258
26 Li 0.750 0.250 0.500
27 Li 0.070 0.070 0.640
28 Li 0.343 0.761 0.742
29 Hf 0.125 0.375 0.750
30 Hf 0.625 0.375 0.750
31 Hf 0.125 0.875 0.250
32 Hf 0.625 0.375 0.250
33 Hf 0.125 0.375 0.250
34 Hf 0.625 0.875 0.250
35 Hf 0.625 0.875 0.750
36 Hf 0.125 0.875 0.750
37 O 0.244 0.083 0.771
38 O 0.536 0.487 0.843
39 O 0.444 0.894 0.657
40 O 0.917 0.688 0.161
41 O 0.106 0.763 0.549
42 O 0.744 0.973 0.161
43 O 0.214 0.556 0.451
44 O 0.333 0.062 0.339
45 O 0.423 0.795 0.073
46 O 0.705 0.077 0.927
47 O 0.527 0.756 0.839
48 O 0.600 0.173 0.128
49 O 0.045 0.472 0.872
50 O 0.028 0.455 0.128
51 O 0.606 0.056 0.343
52 O 0.327 0.900 0.872
53 O 0.833 0.494 0.271
54 O 0.306 0.464 0.951
55 O 0.513 0.356 0.049
56 O 0.100 0.972 0.427
57 O 0.205 0.278 0.628
58 O 0.545 0.673 0.573
59 O 0.827 0.955 0.427
60 O 0.223 0.562 0.729
61 O 0.737 0.394 0.451
62 O 0.806 0.856 0.843
63 O 0.417 0.256 0.229
64 O 0.438 0.167 0.661
65 O 0.006 0.667 0.729
66 O 0.312 0.473 0.229
67 O 0.938 0.277 0.271
68 O 0.144 0.987 0.951
69 O 0.150 0.778 0.073
70 O 0.237 0.786 0.343
71 O 0.013 0.964 0.157
72 O 0.812 0.583 0.839
73 O 0.923 0.850 0.628
74 O 0.027 0.188 0.771
75 O 0.722 0.350 0.927
76 O 0.714 0.263 0.657
77 O 0.723 0.994 0.661
78 O 0.650 0.577 0.372
79 O 0.528 0.400 0.573
80 O 0.222 0.295 0.372
81 O 0.506 0.777 0.339
82 O 0.644 0.694 0.157
83 O 0.944 0.286 0.549
84 O 0.036 0.194 0.049
85 La 0.247 0.625 0.122
86 La 0.375 0.497 0.622
87 La 0.875 0.753 0.378
88 La 0.375 0.997 0.122
89 La 0.750 0.750 0.000
90 La 0.875 0.253 0.878
91 La 0.503 0.125 0.878
92 La 0.500 0.000 0.500
93 La 0.250 0.250 0.000
94 La 0.003 0.125 0.378
95 La 0.747 0.625 0.622
96 La 0.000 0.500 0.500


VASP calculation (GGA-PBEsol) on a relaxed GeP2BrO crystal.

E (eV per atom): -4.361
Spin magnetization (Bohr magnetons per cell): 0.0
Formation energy without anion corrections (eV/f.u.): 1.84
Fermi-level density of states (states/eV per cell): 2.53

a = 3.592 Å, b = 4.895 Å, c = 4.895 Å
α = 90.00°, β = 90.00°, γ = 90.00°
Fractional positions:
1 P 0.000 0.500 0.000
2 P 0.000 0.000 0.500
3 O 0.500 0.000 0.000
4 Ge 0.000 0.000 0.000
5 Br 0.500 0.500 0.500


VASP calculation (GGA-PBEsol) on a relaxed SbPtS crystal.

E (eV per atom): -5.750
Spin magnetization (Bohr magnetons per cell): 0.0
Formation energy without anion corrections (eV/f.u.): -1.34
Fermi-level density of states (states/eV per cell): 5.69

a = 6.171 Å, b = 6.171 Å, c = 6.171 Å
α = 90.00°, β = 90.00°, γ = 90.00°
Fractional positions:
1 Pt 0.987 0.513 0.487
2 Pt 0.513 0.487 0.987
3 Pt 0.487 0.987 0.513
4 Pt 0.013 0.013 0.013
5 Sb 0.127 0.627 0.873
6 Sb 0.873 0.127 0.627
7 Sb 0.627 0.873 0.127
8 Sb 0.373 0.373 0.373
9 S 0.612 0.612 0.612
10 S 0.888 0.388 0.112
11 S 0.388 0.112 0.888
12 S 0.112 0.888 0.388


VASP calculation (GGA-PBEsol) on a relaxed Cs2KSbI6 crystal.

E (eV per atom): -2.829
Spin magnetization (Bohr magnetons per cell): 0.0
Formation energy without anion corrections (eV/f.u.): -10.11
Fermi-level density of states (states/eV per cell): 0.00

a = 8.837 Å, b = 8.837 Å, c = 8.837 Å
α = 60.00°, β = 60.00°, γ = 60.00°
Fractional positions:
1 I 0.762 0.238 0.238
2 I 0.238 0.762 0.238
3 I 0.762 0.762 0.238
4 I 0.238 0.238 0.762
5 I 0.762 0.238 0.762
6 I 0.238 0.762 0.762
7 Cs 0.250 0.250 0.250
8 Cs 0.750 0.750 0.750
9 Sb 0.000 0.000 0.000
10 K 0.500 0.500 0.500


VASP calculation (GGA-PBEsol) on a relaxed MnCdCu2 crystal.

E (eV per atom): -4.650
Spin magnetization (Bohr magnetons per cell): 3.5
Fermi-level density of states (states/eV per cell): 2.28
Energy of formation (eV per atom): 0.26

a = 2.722 Å, b = 4.509 Å, c = 4.853 Å
α = 99.02°, β = 90.00°, γ = 107.57°
Each line ends with the local moment (μB).
Fractional positions:
1 Mn 0.000 0.000 0.500  3.33
2 Cu 0.745 0.490 0.720  0.07
3 Cu 0.255 0.510 0.280  0.07
4 Cd 0.500 0.000 0.000  -0.04


VASP calculation (GGA-PBEsol) on a relaxed Ba2CaAl crystal.

E (eV per atom): -2.575
Spin magnetization (Bohr magnetons per cell): 0.0
Fermi-level density of states (states/eV per cell): 5.07
Energy of formation (eV per atom): 0.06

a = 4.082 Å, b = 5.506 Å, c = 7.454 Å
α = 90.00°, β = 105.83°, γ = 90.00°
Fractional positions:
1 Al 0.433 0.500 0.743
2 Ba 0.035 0.000 0.947
3 Ba 0.708 0.500 0.290
4 Ca 0.323 0.000 0.520